(1)
# PBE with a Hubbard U CsV2Pb2O7, optimized geometry
data_CsV2Pb2O7
_space_group_name_H-M_alt 'P 1'
_space_group_IT_number 1
_space_group_name_Hall 'P 1'
_cell_length_a 6.041
_cell_length_b 6.041
_cell_length_c 9.263
_cell_angle_alpha 70.97
_cell_angle_beta 70.97
_cell_angle_gamma 60.00
loop_
_atom_site_label
_atom_site_fract_x
_atom_site_fract_y
_atom_site_fract_z
_atom_site_occupancy
Cs1 0.500 0.500 0.500 1
V1 0.929 0.929 0.212 1
V2 0.071 0.071 0.788 1
Pb1 0.711 0.711 0.867 1
Pb2 0.289 0.289 0.133 1
O1 0.129 0.002 0.273 1
O2 0.596 0.129 0.273 1
O3 0.002 0.596 0.273 1
O4 0.404 0.998 0.727 1
O5 0.871 0.404 0.727 1
O6 0.000 0.000 0.000 1
O7 0.998 0.871 0.727 1
# DOS at the Fermi energy ... 5.44 states/eV/cell
# Space-group type ... R32, No. 155

***

(2)
# PBE with a Hubbard U Cs3V2PbO8, optimized geometry
data_Cs3V2PbO8
_space_group_name_H-M_alt 'P 1'
_space_group_IT_number 1
_space_group_name_Hall 'P 1'
_cell_length_a 6.250
_cell_length_b 6.250
_cell_length_c 8.458
_cell_angle_alpha 90.00
_cell_angle_beta 90.00
_cell_angle_gamma 120.00
loop_
_atom_site_label
_atom_site_fract_x
_atom_site_fract_y
_atom_site_fract_z
_atom_site_occupancy
Cs1 0.333 0.667 0.724 1
Cs2 0.667 0.333 0.276 1
Cs3 0.000 0.000 0.000 1
V1 0.333 0.667 0.271 1
V2 0.667 0.333 0.729 1
Pb1 0.000 0.000 0.500 1
O1 0.333 0.667 0.071 1
O2 0.667 0.333 0.929 1
O3 0.177 0.823 0.333 1
O4 0.823 0.177 0.667 1
O5 0.177 0.354 0.333 1
O6 0.823 0.646 0.667 1
O7 0.646 0.823 0.333 1
O8 0.354 0.177 0.667 1
# DOS at the Fermi energy ... 5.83 states/eV/cell
# Space-group type ... P-3m1, No. 164

***

(3)
# PBE with a Hubbard U Cs2PbWO6, optimized geometry
data_Cs2PbWO6
_space_group_name_H-M_alt 'P 1'
_space_group_IT_number 1
_space_group_name_Hall 'P 1'
_cell_length_a 5.679
_cell_length_b 6.748
_cell_length_c 6.748
_cell_angle_alpha 120.00
_cell_angle_beta 90.00
_cell_angle_gamma 90.00
loop_
_atom_site_label
_atom_site_fract_x
_atom_site_fract_y
_atom_site_fract_z
_atom_site_occupancy
Cs1 0.175 0.333 0.667 1
Cs2 0.825 0.667 0.333 1
Pb1 0.500 0.000 0.000 1
W1 0.000 0.000 0.000 1
O1 0.785 0.134 0.267 1
O2 0.785 0.134 0.866 1
O3 0.785 0.733 0.866 1
O4 0.215 0.866 0.134 1
O5 0.215 0.267 0.134 1
O6 0.215 0.866 0.733 1
# Space-group type ... P-3m1, No. 164

***

(4)
# PBE with a Hubbard U Cs2PbW3O12, optimized geometry
data_Cs2PbW3O12
_space_group_name_H-M_alt 'P 1'
_space_group_IT_number 1
_space_group_name_Hall 'P 1'
_cell_length_a 7.579
_cell_length_b 7.579
_cell_length_c 7.579
_cell_angle_alpha 59.16
_cell_angle_beta 59.16
_cell_angle_gamma 59.16
loop_
_atom_site_label
_atom_site_fract_x
_atom_site_fract_y
_atom_site_fract_z
_atom_site_occupancy
Cs1 0.625 0.625 0.625 1
Cs2 0.375 0.375 0.375 1
Pb1 0.000 0.000 0.000 1
W1 0.500 0.000 0.000 1
W2 0.000 0.500 0.000 1
W3 0.000 0.000 0.500 1
O1 0.303 0.303 0.936 1
O2 0.926 0.926 0.346 1
O3 0.346 0.926 0.926 1
O4 0.936 0.303 0.303 1
O5 0.926 0.346 0.926 1
O6 0.303 0.936 0.303 1
O7 0.697 0.697 0.064 1
O8 0.074 0.074 0.654 1
O9 0.654 0.074 0.074 1
O10 0.064 0.697 0.697 1
O11 0.074 0.654 0.074 1
O12 0.697 0.064 0.697 1
# DOS at the Fermi energy ... 0.00 states/eV/cell
# Space-group type ... R-3m, No. 166

***

(5)
# PBE with a Hubbard U CsPbWO4, optimized geometry
data_CsPbWO4
_space_group_name_H-M_alt 'P 1'
_space_group_IT_number 1
_space_group_name_Hall 'P 1'
_cell_length_a 6.091
_cell_length_b 6.391
_cell_length_c 10.450
_cell_angle_alpha 90.00
_cell_angle_beta 122.16
_cell_angle_gamma 90.00
loop_
_atom_site_label
_atom_site_fract_x
_atom_site_fract_y
_atom_site_fract_z
_atom_site_occupancy
Cs1 0.627 0.750 0.887 1
Cs2 0.373 0.250 0.113 1
Pb1 0.944 0.750 0.527 1
Pb2 0.056 0.250 0.473 1
W1 0.240 0.750 0.291 1
W2 0.760 0.250 0.709 1
O1 0.953 0.476 0.811 1
O2 0.047 0.976 0.189 1
O3 0.047 0.524 0.189 1
O4 0.953 0.024 0.811 1
O5 0.541 0.750 0.287 1
O6 0.459 0.250 0.713 1
O7 0.312 0.750 0.485 1
O8 0.688 0.250 0.515 1
# DOS at the Fermi energy ... 2.08 states/eV/cell
# Space-group type ... P2_1/m, No. 11

***

Number 1: electronic total energy -6.4892 eV/atom. Number 2: electronic total energy -6.1180 eV/atom. Number 3: electronic total energy -5.7033 eV/atom. Number 4: electronic total energy -6.6934 eV/atom. Number 5: electronic total energy -6.1491 eV/atom.